(1)
## TiCdF2 (SCAN)

Data for a crystal of TiCdF2 relaxed with PBEsol.

Geometry as POSCAR:
```
TiCdF2
1.0
1.395 0.805 8.399
-1.395 0.805 8.399
0.000 -1.611 8.399
Ti Cd F
1 1 2
Direct
0.000 0.000 0.000
0.500 0.500 0.500
0.389 0.389 0.389
0.611 0.611 0.611
```

As for the raw total energy: -0.5701 Ha/atom. For the formation energy from raw total energies, the calculation gives -49.16 kcal/mol of atoms. For the distance to the lowest polymorph of the same formula, the calculation gives 0.00 eV per formula unit. The space group is No. 166. The density of states at the Fermi level is 1.32 states/eV/cell. The spin magnetization is 0.00 Bohr magnetons per cell.


(2)
## ZrTlCdF7 (SCAN)

Data for a crystal of ZrTlCdF7 relaxed with PBEsol.

Geometry as POSCAR:
```
ZrTlCdF7
1.0
3.420 -5.510 0.000
3.420 5.510 0.000
0.000 0.000 8.493
Zr Tl Cd F
2 2 2 14
Direct
0.194 0.806 0.750
0.806 0.194 0.250
0.500 0.500 0.000
0.500 0.500 0.500
0.192 0.808 0.250
0.808 0.192 0.750
0.010 0.990 0.750
0.154 0.436 0.250
0.174 0.473 0.750
0.205 0.795 0.513
0.205 0.795 0.987
0.436 0.154 0.750
0.473 0.174 0.250
0.527 0.826 0.750
0.564 0.846 0.250
0.795 0.205 0.013
0.795 0.205 0.487
0.826 0.527 0.250
0.846 0.564 0.750
0.990 0.010 0.250
```

As for the raw total energy: -0.6964 Ha/atom. For the formation energy from raw total energies, the calculation gives -72.03 kcal/mol of atoms. The space group is No. 63. The density of states at the Fermi level is 0.00 states/eV/cell. The spin magnetization is 0.00 Bohr magnetons per cell.


(3)
## Cd3WF (SCAN)

Data for a crystal of Cd3WF relaxed with PBEsol.

Geometry as POSCAR:
```
Cd3WF
1.0
4.477 0.000 0.000
0.000 4.477 0.000
0.000 0.000 4.477
Cd W F
3 1 1
Direct
0.000 0.000 0.500
0.000 0.500 0.000
0.500 0.000 0.000
0.500 0.500 0.500
0.000 0.000 0.000
```

As for the raw total energy: -1.1940 Ha/atom. For the formation energy from raw total energies, the calculation gives 9.33 kcal/mol of atoms. The space group is No. 221. The density of states at the Fermi level is 2.19 states/eV/cell. The spin magnetization is 0.00 Bohr magnetons per cell.


(4)
## CdW2F (SCAN)

Data for a crystal of CdW2F relaxed with PBEsol.

Geometry as POSCAR:
```
CdW2F
1.0
0.000 3.109 3.109
3.109 0.000 3.109
3.109 3.109 0.000
Cd W F
1 2 1
Direct
0.000 0.000 0.000
0.250 0.250 0.250
0.750 0.750 0.750
0.500 0.500 0.500
```

As for the raw total energy: -1.5541 Ha/atom. For the formation energy from raw total energies, the calculation gives 24.07 kcal/mol of atoms. The space group is No. 225. The density of states at the Fermi level is 3.33 states/eV/cell. The spin magnetization is 0.00 Bohr magnetons per cell.


(5)
## Y2CdF2 (SCAN)

Data for a crystal of Y2CdF2 relaxed with PBEsol.

Geometry as POSCAR:
```
Y2CdF2
1.0
-1.819 1.819 6.852
1.819 -1.819 6.852
1.819 1.819 -6.852
Y Cd F
2 1 2
Direct
0.140 0.140 0.000
0.860 0.860 0.000
0.500 0.500 0.000
0.250 0.750 0.500
0.750 0.250 0.500
```

As for the raw total energy: -0.7778 Ha/atom. For the formation energy from raw total energies, the calculation gives -58.35 kcal/mol of atoms. The space group is No. 139. The density of states at the Fermi level is 1.04 states/eV/cell. The spin magnetization is 0.00 Bohr magnetons per cell.


(6)
## YCdF3 (SCAN)

Data for a crystal of YCdF3 relaxed with PBEsol.

Geometry as POSCAR:
```
YCdF3
1.0
4.428 0.000 0.000
0.000 4.428 0.000
0.000 0.000 4.428
Y Cd F
1 1 3
Direct
0.000 0.000 0.000
0.500 0.500 0.500
0.000 0.000 0.500
0.000 0.500 0.000
0.500 0.000 0.000
```

As for the raw total energy: -0.6245 Ha/atom. For the formation energy from raw total energies, the calculation gives -74.21 kcal/mol of atoms. The space group is No. 221. The density of states at the Fermi level is 0.00 states/eV/cell. The spin magnetization is 0.00 Bohr magnetons per cell.


(7)
## ZnCdF3 (SCAN)

Data for a crystal of ZnCdF3 relaxed with PBEsol.

Geometry as POSCAR:
```
ZnCdF3
1.0
4.046 0.000 0.000
0.000 4.046 0.000
0.000 0.000 4.046
Zn Cd F
1 1 3
Direct
0.000 0.000 0.000
0.500 0.500 0.500
0.000 0.000 0.500
0.000 0.500 0.000
0.500 0.000 0.000
```

As for the raw total energy: -0.4729 Ha/atom. For the formation energy from raw total energies, the calculation gives -45.17 kcal/mol of atoms. The space group is No. 221. The density of states at the Fermi level is 1.62 states/eV/cell. The spin magnetization is 0.42 Bohr magnetons per cell.


(8)
## Cd3Fe (SCAN)

Data for a crystal of Cd3Fe relaxed with PBEsol.

Geometry as POSCAR:
```
Cd3Fe
1.0
2.893 0.000 0.000
0.000 2.893 0.000
0.000 0.000 8.445
Cd Fe
3 1
Direct
0.000 0.000 0.000
0.500 0.500 0.278
0.500 0.500 0.722
0.000 0.000 0.500
```

As for the raw total energy: -0.9985 Ha/atom. The calculation puts the formation energy at 0.17 eV per atom. The space group is No. 123. The density of states at the Fermi level is 1.72 states/eV/cell. The spin magnetization is 2.69 Bohr magnetons per cell.


(9)
## Cd3Fe (SCAN)

Data for a crystal of Cd3Fe relaxed with PBEsol.

Geometry as POSCAR:
```
Cd3Fe
1.0
5.012 0.000 0.000
0.000 5.012 0.000
0.000 0.000 5.012
Cd Fe
3 1
Direct
0.000 0.000 0.500
0.000 0.500 0.000
0.500 0.000 0.000
0.000 0.000 0.000
```

As for the raw total energy: -0.9807 Ha/atom. The calculation puts the formation energy at 0.66 eV per atom. The space group is No. 221. The density of states at the Fermi level is 2.33 states/eV/cell. The spin magnetization is 2.69 Bohr magnetons per cell.


(10)
## Cd3Fe (SCAN)

Data for a crystal of Cd3Fe relaxed with PBEsol.

Geometry as POSCAR:
```
Cd3Fe
1.0
2.911 0.000 0.000
0.000 3.978 0.000
0.000 0.000 6.074
Cd Fe
3 1
Direct
0.000 0.000 0.000
0.500 0.500 0.271
0.500 0.500 0.729
0.000 0.000 0.500
```

As for the raw total energy: -0.9968 Ha/atom. The calculation puts the formation energy at 0.22 eV per atom. The space group is No. 47. The density of states at the Fermi level is 1.70 states/eV/cell. The spin magnetization is 2.72 Bohr magnetons per cell.


(11)
## CdFeH2 (SCAN)

Data for a crystal of CdFeH2 relaxed with PBEsol.

Geometry as POSCAR:
```
CdFeH2
1.0
-2.079 2.079 4.291
2.079 -2.079 4.291
2.079 2.079 -4.291
Cd Fe H
2 2 4
Direct
0.000 0.000 0.000
0.750 0.250 0.500
0.250 0.750 0.500
0.500 0.500 0.000
0.240 0.625 0.115
0.375 0.490 0.615
0.510 0.125 0.885
0.875 0.760 0.385
```

As for the raw total energy: -0.4972 Ha/atom. The space group is No. 122. The density of states at the Fermi level is 2.78 states/eV/cell. The spin magnetization is 3.87 Bohr magnetons per cell.


(12)
## HfCd2Fe (SCAN)

Data for a crystal of HfCd2Fe relaxed with PBEsol.

Geometry as POSCAR:
```
HfCd2Fe
1.0
0.000 3.278 3.278
3.278 0.000 3.278
3.278 3.278 0.000
Hf Cd Fe
1 2 1
Direct
0.000 0.000 0.000
0.250 0.250 0.250
0.750 0.750 0.750
0.500 0.500 0.500
```

As for the raw total energy: -1.2944 Ha/atom. The calculation puts the formation energy at 0.18 eV per atom. The space group is No. 225. The density of states at the Fermi level is 1.76 states/eV/cell. The spin magnetization is 2.57 Bohr magnetons per cell.


(13)
## CdFe2Hg (SCAN)

Data for a crystal of CdFe2Hg relaxed with PBEsol.

Geometry as POSCAR:
```
CdFe2Hg
1.0
5.056 -1.502 0.000
5.056 1.502 0.000
-2.051 0.000 4.081
Cd Fe Hg
1 2 1
Direct
0.000 0.000 0.000
0.234 0.234 0.736
0.540 0.540 0.539
0.779 0.779 0.280
```

As for the raw total energy: -1.2284 Ha/atom. The calculation puts the formation energy at 0.28 eV per atom. The space group is No. 8. The density of states at the Fermi level is 1.61 states/eV/cell. The spin magnetization is 5.47 Bohr magnetons per cell.


(14)
## CdFeHg3 (SCAN)

Data for a crystal of CdFeHg3 relaxed with PBEsol.

Geometry as POSCAR:
```
CdFeHg3
1.0
4.994 0.000 0.000
0.000 4.994 0.000
0.000 0.000 4.994
Cd Fe Hg
1 1 3
Direct
0.000 0.000 0.000
0.500 0.500 0.500
0.000 0.500 0.500
0.500 0.000 0.500
0.500 0.500 0.000
```

As for the raw total energy: -1.8468 Ha/atom. The calculation puts the formation energy at 0.36 eV per atom. The space group is No. 221. The density of states at the Fermi level is 1.97 states/eV/cell. The spin magnetization is 2.82 Bohr magnetons per cell.


(15)
## CdFeHg (SCAN)

Data for a crystal of CdFeHg relaxed with PBEsol.

Geometry as POSCAR:
```
CdFeHg
1.0
4.552 0.000 0.000
-2.276 3.942 0.000
0.000 0.000 2.915
Cd Fe Hg
1 1 1
Direct
0.000 0.000 0.000
0.667 0.333 0.387
0.333 0.667 0.643
```

As for the raw total energy: -1.4169 Ha/atom. The calculation puts the formation energy at 0.35 eV per atom. The space group is No. 156. The density of states at the Fermi level is 2.30 states/eV/cell. The spin magnetization is 2.77 Bohr magnetons per cell.


(16)
## Cd3FeI (SCAN)

Data for a crystal of Cd3FeI relaxed with PBEsol.

Geometry as POSCAR:
```
Cd3FeI
1.0
5.128 0.000 0.000
0.000 5.128 0.000
0.000 0.000 5.128
Cd Fe I
3 1 1
Direct
0.000 0.000 0.500
0.000 0.500 0.000
0.500 0.000 0.000
0.000 0.000 0.000
0.500 0.500 0.500
```

As for the raw total energy: -1.0611 Ha/atom. For the formation energy from raw total energies, the calculation gives 8.03 kcal/mol of atoms. The space group is No. 221. The density of states at the Fermi level is 1.97 states/eV/cell. The spin magnetization is 3.28 Bohr magnetons per cell.


(17)
## CdFeI2O (SCAN)

Data for a crystal of CdFeI2O relaxed with PBEsol.

Geometry as POSCAR:
```
CdFeI2O
1.0
5.767 0.000 0.000
0.000 5.767 0.000
0.000 0.000 3.972
Cd Fe I O
1 1 2 1
Direct
0.000 0.000 0.000
0.500 0.500 0.500
0.000 0.500 0.000
0.500 0.000 0.000
0.000 0.000 0.500
```

As for the raw total energy: -0.9308 Ha/atom. For the formation energy from raw total energies, the calculation gives 7.42 kcal/mol of atoms. The space group is No. 123. The density of states at the Fermi level is 6.96 states/eV/cell. The spin magnetization is 3.88 Bohr magnetons per cell.


(18)
## Cd2FePbI (SCAN)

Data for a crystal of Cd2FePbI relaxed with PBEsol.

Geometry as POSCAR:
```
Cd2FePbI
1.0
5.741 0.000 0.000
0.000 5.741 0.000
0.000 0.000 4.607
Cd Fe Pb I
2 1 1 1
Direct
0.000 0.500 0.000
0.500 0.000 0.000
0.000 0.000 0.500
0.500 0.500 0.500
0.000 0.000 0.000
```

As for the raw total energy: -1.3696 Ha/atom. For the formation energy from raw total energies, the calculation gives 23.67 kcal/mol of atoms. The space group is No. 123. The density of states at the Fermi level is 4.41 states/eV/cell. The spin magnetization is 2.76 Bohr magnetons per cell.


(19)
## CdFeSiI2 (SCAN)

Data for a crystal of CdFeSiI2 relaxed with PBEsol.

Geometry as POSCAR:
```
CdFeSiI2
1.0
5.377 0.000 0.000
0.000 5.377 0.000
0.000 0.000 4.321
Cd Fe Si I
1 1 1 2
Direct
0.000 0.000 0.000
0.500 0.500 0.500
0.500 0.500 0.000
0.000 0.500 0.500
0.500 0.000 0.500
```

As for the raw total energy: -0.9526 Ha/atom. For the formation energy from raw total energies, the calculation gives 11.23 kcal/mol of atoms. The space group is No. 123. The density of states at the Fermi level is 3.46 states/eV/cell. The spin magnetization is 1.23 Bohr magnetons per cell.


(20)
## ZnCdFe2I (SCAN)

Data for a crystal of ZnCdFe2I relaxed with PBEsol.

Geometry as POSCAR:
```
ZnCdFe2I
1.0
4.666 0.000 0.000
0.000 4.666 0.000
0.000 0.000 4.923
Zn Cd Fe I
1 1 2 1
Direct
0.000 0.000 0.000
0.000 0.000 0.500
0.000 0.500 0.000
0.500 0.000 0.000
0.500 0.500 0.500
```

As for the raw total energy: -0.8282 Ha/atom. For the formation energy from raw total energies, the calculation gives 19.61 kcal/mol of atoms. The space group is No. 123. The density of states at the Fermi level is 2.97 states/eV/cell. The spin magnetization is 6.85 Bohr magnetons per cell.